{
  "formula": "Li3HfH",
  "functional": "PBE",
  "state": "optimized geometry",
  "final_energy_ha_per_atom": -0.1220,
  "relative_energy_mev_per_atom": 0,
  "cell": [[4.201, 0.000, 0.000], [0.000, 4.201, 0.000], [0.000, 0.000, 4.201]],
  "species": ["Li", "Li", "Li", "H", "Hf"],
  "frac_coords": [[0.000, 0.000, 0.500], [0.500, 0.000, 0.000], [0.000, 0.500, 0.000], [0.000, 0.000, 0.000], [0.500, 0.500, 0.500]]
}